DFT (PBE) results for a relaxed LaCdSb2I crystal.

Unit cell a=5.4351 b=5.4351 c=5.9706 alpha=90.00 beta=90.00 gamma=90.00
Fractional positions:
La (0.0000, 0.0000, 0.0000)
Cd (0.5000, 0.5000, 0.5000)
Sb (0.0000, 0.5000, 0.5000)
Sb (0.5000, 0.0000, 0.5000)
I (0.5000, 0.5000, 0.0000)

Summary:
raw total energy = -15.93 eV per cell
energy relative to the elements, uncorrected = -0.058 eV per atom
N(E_F) = 2.0 states/eV/f.u.
ΔE to the lowest computed polymorph = 0.00 kcal/mol of atoms
total magnetization = 0.00 Bohr magnetons per cell

=====

DFT (PBE) results for a relaxed RbScTiO4 crystal.

Unit cell a=5.6200 b=5.7922 c=7.3545 alpha=90.00 beta=101.82 gamma=90.00
Fractional positions:
Rb (0.1453, 0.2500, 0.0986)
Rb (0.8547, 0.7500, 0.9014)
Sc (0.1536, 0.7500, 0.4663)
Sc (0.8464, 0.2500, 0.5337)
Ti (0.3870, 0.2500, 0.6566)
Ti (0.6130, 0.7500, 0.3434)
O (0.1537, 0.0188, 0.6611)
O (0.1537, 0.4812, 0.6611)
O (0.2967, 0.7500, 0.2163)
O (0.4593, 0.2500, 0.4327)
O (0.5407, 0.7500, 0.5673)
O (0.7033, 0.2500, 0.7837)
O (0.8463, 0.5188, 0.3389)
O (0.8463, 0.9812, 0.3389)

Summary:
raw total energy = -110.21 eV per cell
energy relative to the elements, uncorrected = -2.868 eV per atom
N(E_F) = 0.0 states/eV/f.u.
total magnetization = 0.00 Bohr magnetons per cell

=====

DFT (PBE) results for a relaxed Pm4Er5Hg crystal.

Unit cell a=3.5905 b=3.5905 c=24.0518 alpha=90.00 beta=90.00 gamma=90.00
Fractional positions:
Pm (0.0000, 0.0000, 0.1043)
Pm (0.0000, 0.0000, 0.3137)
Pm (0.0000, 0.0000, 0.6863)
Pm (0.0000, 0.0000, 0.8957)
Er (0.5000, 0.5000, 0.0000)
Er (0.5000, 0.5000, 0.2093)
Er (0.5000, 0.5000, 0.4187)
Er (0.5000, 0.5000, 0.5813)
Er (0.5000, 0.5000, 0.7907)
Hg (0.0000, 0.0000, 0.5000)

Summary:
raw total energy = -42.94 eV per cell
N(E_F) = 12.8 states/eV/f.u.
total magnetization = 0.00 Bohr magnetons per cell
calculated formation energy = -0.820 eV per formula unit

=====

DFT (PBE) results for a relaxed PmPuTlBr6 crystal.

Unit cell a=7.5582 b=7.5582 c=14.6148 alpha=90.00 beta=90.00 gamma=120.00
Fractional positions:
Pm (0.3333, 0.6667, 0.2500)
Pm (0.6667, 0.3333, 0.7500)
Pu (0.3333, 0.6667, 0.7500)
Pu (0.6667, 0.3333, 0.2500)
Tl (0.0000, 0.0000, 0.0000)
Tl (0.0000, 0.0000, 0.5000)
Br (0.0077, 0.3684, 0.1346)
Br (0.0077, 0.6394, 0.3654)
Br (0.3606, 0.3684, 0.3654)
Br (0.3606, 0.9923, 0.1346)
Br (0.3684, 0.0077, 0.6346)
Br (0.3684, 0.3606, 0.8654)
Br (0.6316, 0.6394, 0.1346)
Br (0.6316, 0.9923, 0.3654)
Br (0.6394, 0.0077, 0.8654)
Br (0.6394, 0.6316, 0.6346)
Br (0.9923, 0.3606, 0.6346)
Br (0.9923, 0.6316, 0.8654)

Summary:
raw total energy = -90.14 eV per cell
energy relative to the elements, uncorrected = -1.509 eV per atom
N(E_F) = 17.4 states/eV/f.u.
total magnetization = 12.00 Bohr magnetons per cell

=====

DFT (PBE) results for a relaxed CrGa crystal.

Unit cell a=5.5861 b=5.5861 c=5.5861 alpha=98.47 beta=98.47 gamma=134.86
Fractional positions:
Cr (0.1595, 0.1595, 0.3189)
Cr (0.1595, 0.8405, 0.0000)
Cr (0.8405, 0.1595, 0.0000)
Cr (0.8405, 0.8405, 0.6811)
Ga (0.2218, 0.5000, 0.7218)
Ga (0.5000, 0.2218, 0.7218)
Ga (0.5000, 0.7782, 0.2782)
Ga (0.7782, 0.5000, 0.2782)

Summary:
raw total energy = -49.98 eV per cell
N(E_F) = 1.5 states/eV/f.u.
total magnetization = 0.00 Bohr magnetons per cell
calculated formation energy = 0.156 eV per formula unit

=====

DFT (PBE) results for a relaxed Li3BiPd4 crystal.

Unit cell a=5.9511 b=5.9511 c=5.9511 alpha=125.34 beta=77.44 gamma=129.72
Fractional positions:
Li (0.0000, 0.0000, 0.0000)
Li (0.5199, 0.7566, 0.7633)
Li (0.9934, 0.7566, 0.2367)
Bi (0.9906, 0.4906, 0.5000)
Pd (0.0162, 0.2542, 0.7620)
Pd (0.4921, 0.2542, 0.2380)
Pd (0.4943, 0.2471, 0.7529)
Pd (0.4943, 0.7414, 0.2471)

Summary:
raw total energy = -32.86 eV per cell
N(E_F) = 4.1 states/eV/f.u.
ΔE to the lowest computed polymorph = 3.16 kcal/mol of atoms
total magnetization = 0.00 Bohr magnetons per cell
calculated formation energy = -2.465 eV per formula unit

=====

DFT (PBE) results for a relaxed LaGdTl2 crystal.

Unit cell a=5.5342 b=5.5342 c=5.5342 alpha=60.00 beta=60.00 gamma=60.00
Fractional positions:
La (0.0000, 0.0000, 0.0000)
Gd (0.5000, 0.5000, 0.5000)
Tl (0.2500, 0.2500, 0.2500)
Tl (0.7500, 0.7500, 0.7500)

Summary:
raw total energy = -25.34 eV per cell
N(E_F) = 3.5 states/eV/f.u.
ΔE to the lowest computed polymorph = 0.20 kcal/mol of atoms
total magnetization = 7.36 Bohr magnetons per cell
calculated formation energy = -1.599 eV per formula unit

=====

DFT (PBE) results for a relaxed NdYPu4 crystal.

Unit cell a=6.2166 b=6.2166 c=6.2166 alpha=60.00 beta=60.00 gamma=60.00
Fractional positions:
Nd (0.0000, 0.0000, 0.0000)
Y (0.2500, 0.2500, 0.2500)
Pu (0.1249, 0.6250, 0.6250)
Pu (0.6250, 0.1249, 0.6250)
Pu (0.6250, 0.6250, 0.1249)
Pu (0.6250, 0.6250, 0.6250)

Summary:
raw total energy = -67.13 eV per cell
N(E_F) = 29.2 states/eV/f.u.
total magnetization = 22.90 Bohr magnetons per cell
calculated formation energy = 1.433 eV per formula unit